# Na2LiScPd | Alexandria via LeMat-Bulk | GGA-PBE | relaxed
data_Na2LiScPd
_cell_length_a 5.716
_cell_length_b 5.716
_cell_length_c 5.113
_cell_angle_alpha 90.00
_cell_angle_beta 90.00
_cell_angle_gamma 90.00
_space_group_name_H-M_alt 'P 4/m m m'
_space_group_IT_number 123
_space_group_name_Hall '-P 4 2'
loop_
_atom_site_label
_atom_site_fract_x
_atom_site_fract_y
_atom_site_fract_z
Na1 0.000 0.500 0.000
Li1 0.000 0.000 0.500
Sc1 0.000 0.000 0.000
Pd1 0.500 0.500 0.500
# Uncorrected energy: -2.02 eV/atom
# Total magnetization: 1.83 μB/f.u.

***

# HfGaRe | Alexandria via LeMat-Bulk | GGA-PBE | relaxed
data_HfGaRe
_cell_length_a 4.5832
_cell_length_b 4.5832
_cell_length_c 2.8256
_cell_angle_alpha 90.00
_cell_angle_beta 90.00
_cell_angle_gamma 120.00
_space_group_name_H-M_alt 'P 3 m 1'
_space_group_IT_number 156
loop_
_space_group_symop_operation_xyz
'x,y,z'
'-y,x-y,z'
'-x+y,-x,z'
'-y,-x,z'
'-x+y,y,z'
'x,x-y,z'
loop_
_atom_site_label
_atom_site_fract_x
_atom_site_fract_y
_atom_site_fract_z
Hf1 0.0000 0.0000 0.0000
Ga1 0.3333 0.6667 0.5152
Re1 0.6667 0.3333 0.3652
# Uncorrected energy: -8.62 eV/atom
# Total magnetization: 0.00 μB/f.u.
# Polymorph energy (0 for the lowest one): 3.49 kcal/mol of atoms

***

# Dy2ZnSi2 | Alexandria via LeMat-Bulk | GGA-PBE | relaxed
data_Dy2ZnSi2
_cell_length_a 10.617
_cell_length_b 4.202
_cell_length_c 10.484
_cell_angle_alpha 90.00
_cell_angle_beta 119.10
_cell_angle_gamma 90.00
_space_group_name_H-M_alt 'C 1 2/m 1'
_space_group_IT_number 12
loop_
_space_group_symop_operation_xyz
'x,y,z'
'-x,-y,-z'
'-x,y,-z'
'x,-y,z'
'x+1/2,y+1/2,z'
'-x+1/2,-y+1/2,-z'
'-x+1/2,y+1/2,-z'
'x+1/2,-y+1/2,z'
loop_
_atom_site_label
_atom_site_fract_x
_atom_site_fract_y
_atom_site_fract_z
Dy1 0.104 0.000 0.411
Dy2 0.208 0.500 0.155
Zn1 0.059 0.500 0.810
Si1 0.040 0.000 0.914
Si2 0.120 0.500 0.611
# Uncorrected energy: -4.92 eV/atom
# Total magnetization: 0.00 μB/f.u.
# Formation energy from raw total energies: -658 meV per atom
# Polymorph energy (0 for the lowest one): 0.39 kcal/mol of atoms

***

# BaCa2In2 | Alexandria via LeMat-Bulk | GGA-PBE | relaxed
data_BaCa2In2
_cell_length_a 9.343
_cell_length_b 9.343
_cell_length_c 4.041
_cell_angle_alpha 90.00
_cell_angle_beta 90.00
_cell_angle_gamma 90.00
_space_group_name_H-M_alt 'P 4/m b m'
_space_group_IT_number 127
_space_group_name_Hall '-P 4 2ab'
loop_
_atom_site_label
_atom_site_fract_x
_atom_site_fract_y
_atom_site_fract_z
Ba1 0.000 0.000 0.000
Ca1 0.172 0.328 0.500
In1 0.120 0.620 0.000
# Uncorrected energy: -2.60 eV/atom
# Total magnetization: 0.00 μB/f.u.
# Polymorph energy (0 for the lowest one): 1.15 kcal/mol of atoms

***

# ZrTe2Cl2 | Alexandria via LeMat-Bulk | GGA-PBE | relaxed
data_ZrTe2Cl2
_cell_length_a 7.354
_cell_length_b 7.354
_cell_length_c 5.325
_cell_angle_alpha 90.00
_cell_angle_beta 90.00
_cell_angle_gamma 90.00
_space_group_name_H-M_alt 'P 4/m b m'
_space_group_IT_number 127
_space_group_name_Hall '-P 4 2ab'
loop_
_atom_site_label
_atom_site_fract_x
_atom_site_fract_y
_atom_site_fract_z
Zr1 0.000 0.000 0.000
Te1 0.140 0.360 0.000
Cl1 0.212 0.712 0.500
# Uncorrected energy: -3.91 eV/atom
# Total magnetization: 0.00 μB/f.u.
# Formation energy from raw total energies: -203 meV per atom
# Polymorph energy (0 for the lowest one): 0.79 kcal/mol of atoms

***

# LiScBi2 | Alexandria via LeMat-Bulk | GGA-PBE | relaxed
data_LiScBi2
_cell_length_a 7.407
_cell_length_b 7.407
_cell_length_c 7.407
_cell_angle_alpha 90.00
_cell_angle_beta 90.00
_cell_angle_gamma 90.00
_space_group_name_H-M_alt 'F m -3 m'
_space_group_IT_number 225
_space_group_name_Hall '-F 4 2 3'
loop_
_atom_site_label
_atom_site_fract_x
_atom_site_fract_y
_atom_site_fract_z
Li1 0.000 0.000 0.000
Sc1 0.000 0.000 0.500
Bi1 0.250 0.250 0.250
# Uncorrected energy: -4.37 eV/atom
# Total magnetization: 0.00 μB/f.u.
# Polymorph energy (0 for the lowest one): 1.27 kcal/mol of atoms

***

# Ca3Ac3La | Alexandria via LeMat-Bulk | GGA-PBE | relaxed
data_Ca3Ac3La
_cell_length_a 11.5232
_cell_length_b 11.5232
_cell_length_c 8.0582
_cell_angle_alpha 90.00
_cell_angle_beta 90.00
_cell_angle_gamma 120.00
_space_group_name_H-M_alt 'R 3 m'
_space_group_IT_number 160
_space_group_name_Hall 'R 3 -2"'
loop_
_atom_site_label
_atom_site_fract_x
_atom_site_fract_y
_atom_site_fract_z
Ca1 0.2125 0.4250 0.0000
Ac1 0.1896 0.3793 0.5373
La1 0.0000 0.0000 0.6772
# Uncorrected energy: -3.07 eV/atom
# Total magnetization: 0.00 μB/f.u.
# Polymorph energy (0 for the lowest one): 5.28 kcal/mol of atoms

***

# CsK2CuAg | Alexandria via LeMat-Bulk | GGA-PBE | relaxed
data_CsK2CuAg
_cell_length_a 6.423
_cell_length_b 6.423
_cell_length_c 7.008
_cell_angle_alpha 90.00
_cell_angle_beta 90.00
_cell_angle_gamma 90.00
_space_group_name_H-M_alt 'P 4/m m m'
_space_group_IT_number 123
_space_group_name_Hall '-P 4 2'
loop_
_atom_site_label
_atom_site_fract_x
_atom_site_fract_y
_atom_site_fract_z
Cs1 0.000 0.000 0.000
K1 0.000 0.500 0.500
Cu1 0.500 0.500 0.000
Ag1 0.000 0.000 0.500
# Uncorrected energy: -1.61 eV/atom
# Total magnetization: 0.00 μB/f.u.
# Polymorph energy (0 for the lowest one): 3.30 kcal/mol of atoms